[1]
# GGA-PBE Sr3AlGa3, relaxed
# formation enthalpy at 0 K: -401.2 meV per atom
# Fermi-level density of states: 18.88 states/eV per cell
# E: -0.1086 Ha/atom
data_Sr3AlGa3
_chemical_formula_sum 'Sr12 Al4 Ga12'
_cell_length_a 11.609
_cell_length_b 4.735
_cell_length_c 15.519
_cell_angle_alpha 90.00
_cell_angle_beta 111.06
_cell_angle_gamma 90.00
_symmetry_space_group_name_H-M 'C 1 2/m 1'
_symmetry_Int_Tables_number 12
_symmetry_space_group_name_Hall '-C 2y'
loop_
_atom_site_label
_atom_site_fract_x
_atom_site_fract_y
_atom_site_fract_z
Sr1 0.031 0.000 0.383
Sr2 0.106 0.000 0.922
Sr3 0.248 0.000 0.229
Al1 0.240 0.500 0.399
Ga1 0.050 0.500 0.233
Ga2 0.098 0.500 0.076
Ga3 0.136 0.500 0.537

[2]
# GGA-PBE Sr3Al3Ga8, relaxed
# formation enthalpy at 0 K: -341.2 meV per atom
# Fermi-level density of states: 10.54 states/eV per cell
# E: -0.1188 Ha/atom
data_Sr3Al3Ga8
_chemical_formula_sum 'Sr6 Al6 Ga16'
_cell_length_a 4.399
_cell_length_b 10.158
_cell_length_c 13.495
_cell_angle_alpha 90.00
_cell_angle_beta 90.00
_cell_angle_gamma 90.00
_symmetry_space_group_name_H-M 'I m m m'
_symmetry_Int_Tables_number 71
_symmetry_space_group_name_Hall '-I 2 2'
loop_
_atom_site_label
_atom_site_fract_x
_atom_site_fract_y
_atom_site_fract_z
Sr1 0.000 0.000 0.000
Sr2 0.000 0.000 0.308
Al1 0.000 0.210 0.500
Al2 0.000 0.500 0.000
Ga1 0.000 0.280 0.141
Ga2 0.000 0.367 0.339

[3]
# GGA-PBE Sr6Al2Ga, relaxed
# formation enthalpy at 0 K: -116.0 meV per atom
# Fermi-level density of states: 44.26 states/eV per cell
# E: -0.0884 Ha/atom
data_Sr6Al2Ga
_chemical_formula_sum 'Sr24 Al8 Ga4'
_cell_length_a 10.928
_cell_length_b 11.012
_cell_length_c 11.671
_cell_angle_alpha 90.00
_cell_angle_beta 90.00
_cell_angle_gamma 90.00
_symmetry_space_group_name_H-M 'I m m m'
_symmetry_Int_Tables_number 71
_symmetry_space_group_name_Hall '-I 2 2'
loop_
_atom_site_label
_atom_site_fract_x
_atom_site_fract_y
_atom_site_fract_z
Sr1 0.000 0.188 0.243
Sr2 0.193 0.500 0.336
Sr3 0.236 0.328 0.000
Al1 0.000 0.330 0.500
Al2 0.000 0.500 0.110
Ga1 0.000 0.000 0.000
Ga2 0.000 0.000 0.500

[4]
# GGA-PBE Sr3Al7Ga4, relaxed
# formation enthalpy at 0 K: -278.4 meV per atom
# Fermi-level density of states: 9.42 states/eV per cell
# E: -0.1240 Ha/atom
data_Sr3Al7Ga4
_chemical_formula_sum 'Sr6 Al14 Ga8'
_cell_length_a 16.509
_cell_length_b 4.416
_cell_length_c 10.213
_cell_angle_alpha 90.00
_cell_angle_beta 125.98
_cell_angle_gamma 90.00
_symmetry_space_group_name_H-M 'C 1 2/m 1'
_symmetry_Int_Tables_number 12
_symmetry_space_group_name_Hall '-C 2y'
loop_
_atom_site_label
_atom_site_fract_x
_atom_site_fract_y
_atom_site_fract_z
Sr1 0.000 0.000 0.000
Sr2 0.189 0.500 0.690
Al1 0.000 0.000 0.500
Al2 0.002 0.500 0.292
Al3 0.149 0.000 0.423
Al4 0.169 0.500 0.026
Ga1 0.133 0.000 0.855
Ga2 0.158 0.500 0.283

[5]
# GGA-PBE Sr8Al2Ga, relaxed
# distance to the lowest polymorph of the same formula: 0.085 eV/atom
# formation enthalpy at 0 K: -42.5 meV per atom
# Fermi-level density of states: 16.37 states/eV per cell
# E: -0.0816 Ha/atom
data_Sr8Al2Ga
_chemical_formula_sum 'Sr16 Al4 Ga2'
_cell_length_a 5.614
_cell_length_b 9.239
_cell_length_c 16.455
_cell_angle_alpha 90.00
_cell_angle_beta 90.00
_cell_angle_gamma 90.00
_symmetry_space_group_name_H-M 'I m m m'
_symmetry_Int_Tables_number 71
_symmetry_space_group_name_Hall '-I 2 2'
loop_
_atom_site_label
_atom_site_fract_x
_atom_site_fract_y
_atom_site_fract_z
Sr1 0.000 0.000 0.139
Sr2 0.000 0.219 0.340
Sr3 0.000 0.315 0.000
Al1 0.000 0.500 0.188
Ga1 0.000 0.500 0.500

[6]
# GGA-PBE SrAlGa, relaxed
# formation enthalpy at 0 K: -379.7 meV per atom
# Fermi-level density of states: 1.31 states/eV per cell
# E: -0.1175 Ha/atom
data_SrAlGa
_chemical_formula_sum 'Sr1 Al1 Ga1'
_cell_length_a 4.4012
_cell_length_b 4.4012
_cell_length_c 4.8478
_cell_angle_alpha 90.00
_cell_angle_beta 90.00
_cell_angle_gamma 120.00
_symmetry_space_group_name_H-M 'P -6 m 2'
_symmetry_Int_Tables_number 187
_symmetry_space_group_name_Hall 'P -6 2'
loop_
_atom_site_label
_atom_site_fract_x
_atom_site_fract_y
_atom_site_fract_z
Sr1 0.0000 0.0000 0.0000
Al1 0.3333 0.6667 0.5000
Ga1 0.6667 0.3333 0.5000

[7]
# GGA-PBE SrAl3Ga, relaxed
# distance to the lowest polymorph of the same formula: 0.000 eV/atom
# formation enthalpy at 0 K: -311.8 meV per atom
# Fermi-level density of states: 2.19 states/eV per cell
# E: -0.1286 Ha/atom
data_SrAl3Ga
_chemical_formula_sum 'Sr2 Al6 Ga2'
_cell_length_a 4.424
_cell_length_b 4.424
_cell_length_c 11.157
_cell_angle_alpha 90.00
_cell_angle_beta 90.00
_cell_angle_gamma 90.00
_symmetry_space_group_name_H-M 'I 4 m m'
_symmetry_Int_Tables_number 107
_symmetry_space_group_name_Hall 'I 4 -2'
loop_
_atom_site_label
_atom_site_fract_x
_atom_site_fract_y
_atom_site_fract_z
Sr1 0.000 0.000 0.000
Al1 0.000 0.000 0.618
Al2 0.000 0.500 0.253
Ga1 0.000 0.000 0.386

[8]
# GGA-PBE SrAlGa, relaxed
# formation enthalpy at 0 K: -335.5 meV per atom
# Fermi-level density of states: 6.60 states/eV per cell
# E: -0.1159 Ha/atom
data_SrAlGa
_chemical_formula_sum 'Sr4 Al4 Ga4'
_cell_length_a 10.029
_cell_length_b 5.936
_cell_length_c 5.749
_cell_angle_alpha 90.00
_cell_angle_beta 124.88
_cell_angle_gamma 90.00
_symmetry_space_group_name_H-M 'C 1 2/m 1'
_symmetry_Int_Tables_number 12
_symmetry_space_group_name_Hall '-C 2y'
loop_
_atom_site_label
_atom_site_fract_x
_atom_site_fract_y
_atom_site_fract_z
Sr1 0.124 0.000 0.375
Al1 0.000 0.500 0.000
Al2 0.000 0.500 0.500
Ga1 0.250 0.250 0.000